*a*
Compound: Pa2Si2Ru
Source: the Alexandria database
Functional: PBE
Structure: relaxed

Properties
- Space-group type: P4/mbm, No. 127
- ρ: 10.927 g/cm³
- Crystal system: tetragonal
- Total moment: 0.00 μB per cell

a b c (Å): 6.441 6.441 9.074
angles (deg): 90.00 90.00 90.00
Fractional coordinates of all 20 atoms:
Pa 0.345 0.155 0.500
Pa 0.345 0.155 0.000
Pa 0.155 0.655 0.000
Pa 0.845 0.345 0.500
Pa 0.845 0.345 0.000
Pa 0.655 0.845 0.000
Pa 0.655 0.845 0.500
Pa 0.155 0.655 0.500
Ru 0.500 0.500 0.750
Ru 0.000 0.000 0.750
Ru 0.500 0.500 0.250
Ru 0.000 0.000 0.250
Si 0.360 0.860 0.250
Si 0.140 0.360 0.750
Si 0.360 0.860 0.750
Si 0.640 0.140 0.250
Si 0.860 0.640 0.750
Si 0.860 0.640 0.250
Si 0.140 0.360 0.250
Si 0.640 0.140 0.750

=====

*b*
Compound: Pa2Si2Ru
Source: the Alexandria database
Functional: PBE
Structure: relaxed

Properties
- Space-group type: Cmc2_1, No. 36
- ρ: 9.646 g/cm³
- Crystal system: orthorhombic
- Total moment: 0.00 μB per cell

a b c (Å): 4.215 7.026 7.502
angles (deg): 90.00 106.32 90.00
Fractional coordinates of all 10 atoms:
Si 0.837 0.003 0.673
Si 0.574 0.940 0.148
Si 0.163 0.503 0.327
Si 0.426 0.440 0.852
Pa 0.976 0.720 0.951
Pa 0.024 0.220 0.049
Pa 0.216 0.887 0.433
Pa 0.784 0.387 0.567
Ru 0.410 0.085 0.820
Ru 0.590 0.585 0.180

=====

Least stable of them? *b*.

=====

*a*
Compound: PaSiTcRu
Source: the Alexandria database
Functional: PBE
Structure: relaxed

Properties
- Space-group type: F-43m, No. 216
- ρ: 11.183 g/cm³
- Crystal system: cubic
- Total moment: 0.00 μB per cell

a b c (Å): 4.582 4.582 4.582
angles (deg): 60.00 60.00 60.00
Fractional coordinates of all 4 atoms:
Si 0.750 0.750 0.750
Pa 0.250 0.250 0.250
Tc 0.000 0.000 0.000
Ru 0.500 0.500 0.500

=====

*b*
Compound: PaSiTcRu
Source: the Alexandria database
Functional: PBE
Structure: relaxed

Properties
- Space-group type: Pmmm, No. 47
- ρ: 9.930 g/cm³
- Crystal system: orthorhombic
- Total moment: 0.00 μB per cell

a b c (Å): 3.656 4.606 4.550
angles (deg): 90.00 90.00 90.00
Fractional coordinates of all 4 atoms:
Tc 0.000 0.500 0.000
Si 0.000 0.000 0.000
Pa 0.500 0.500 0.500
Ru 0.000 0.000 0.500

=====

Least stable of them? *b*.

=====

*a*
Compound: Sm3PaRu4
Source: the Alexandria database
Functional: PBE
Structure: relaxed

Properties
- Space-group type: C2/m, No. 12
- ρ: 10.837 g/cm³
- Crystal system: monoclinic
- Total moment: 0.00 μB per cell

a b c (Å): 4.889 4.889 7.771
angles (deg): 108.25 108.34 90.00
Fractional coordinates of all 8 atoms:
Pa 0.500 0.000 0.000
Ru 0.614 0.614 0.228
Ru 0.114 0.114 0.228
Ru 0.886 0.886 0.772
Ru 0.386 0.386 0.772
Sm 0.249 0.749 0.497
Sm 0.751 0.251 0.503
Sm 0.000 0.500 0.000

=====

*b*
Compound: Sm3PaRu4
Source: the Alexandria database
Functional: PBE
Structure: relaxed

Properties
- Space-group type: Imm2, No. 44
- ρ: 9.562 g/cm³
- Crystal system: orthorhombic
- Total moment: 0.00 μB per cell

a b c (Å): 6.430 6.430 6.430
angles (deg): 98.85 103.61 127.65
Fractional coordinates of all 8 atoms:
Ru 0.215 0.743 0.958
Ru 0.545 0.255 0.291
Ru 0.215 0.257 0.473
Ru 0.036 0.745 0.291
Sm 0.939 0.000 0.939
Sm 0.569 0.261 0.830
Sm 0.569 0.739 0.308
Pa 0.062 0.500 0.562

=====

Least stable of them? *b*.

=====

*a*
Compound: SmPaRu2
Source: the Alexandria database
Functional: PBE
Structure: relaxed

Properties
- Space-group type: Fm-3m, No. 225
- ρ: 11.797 g/cm³
- Crystal system: cubic
- Total moment: 0.00 μB per cell

a b c (Å): 4.879 4.879 4.879
angles (deg): 60.00 60.00 60.00
Fractional coordinates of all 4 atoms:
Pa 0.000 0.000 0.000
Ru 0.250 0.250 0.250
Ru 0.750 0.750 0.750
Sm 0.500 0.500 0.500

=====

*b*
Compound: SmPaRu2
Source: the Alexandria database
Functional: PBE
Structure: relaxed

Properties
- Space-group type: P2/c, No. 13
- ρ: 10.853 g/cm³
- Crystal system: monoclinic
- Total moment: 0.00 μB per cell

a b c (Å): 5.632 5.968 11.053
angles (deg): 106.00 90.00 90.00
Fractional coordinates of all 16 atoms:
Sm 0.320 0.452 0.144
Sm 0.680 0.548 0.856
Sm 0.320 0.048 0.356
Sm 0.680 0.952 0.644
Ru 0.178 0.018 0.653
Ru 0.822 0.982 0.347
Ru 0.306 0.604 0.447
Ru 0.694 0.104 0.947
Ru 0.178 0.482 0.847
Ru 0.822 0.518 0.153
Ru 0.306 0.896 0.053
Ru 0.694 0.396 0.553
Pa 0.825 0.997 0.130
Pa 0.175 0.003 0.870
Pa 0.825 0.503 0.370
Pa 0.175 0.497 0.630

=====

Least stable of them? *a*.

=====

*a*
Compound: SmPaRu2
Source: the Alexandria database
Functional: PBE
Structure: relaxed

Properties
- Space-group type: R-3m, No. 166
- ρ: 10.997 g/cm³
- Crystal system: trigonal
- Total moment: 0.00 μB per cell

a b c (Å): 3.835 3.835 7.264
angles (deg): 74.70 74.70 60.00
Fractional coordinates of all 4 atoms:
Pa 0.000 0.000 0.000
Ru 0.258 0.258 0.227
Ru 0.742 0.742 0.773
Sm 0.500 0.500 0.500

=====

*b*
Compound: SmPaRu2
Source: the Alexandria database
Functional: PBE
Structure: relaxed

Properties
- Space-group type: P4/mmm, No. 123
- ρ: 11.576 g/cm³
- Crystal system: tetragonal
- Total moment: 0.00 μB per cell

a b c (Å): 3.442 3.442 7.064
angles (deg): 90.00 90.00 90.00
Fractional coordinates of all 4 atoms:
Pa 0.500 0.500 0.000
Ru 0.000 0.000 0.791
Ru 0.000 0.000 0.209
Sm 0.500 0.500 0.500

=====

Least stable of them? *a*.

=====

*a*
Compound: SmPa2Ru
Source: the Alexandria database
Functional: PBE
Structure: relaxed

Properties
- Space-group type: R-3m, No. 166
- ρ: 11.211 g/cm³
- Crystal system: trigonal
- Total moment: 0.00 μB per cell

a b c (Å): 3.666 3.666 9.325
angles (deg): 78.66 78.66 60.00
Fractional coordinates of all 4 atoms:
Sm 0.500 0.500 0.500
Pa 0.730 0.730 0.809
Pa 0.270 0.270 0.191
Ru 0.000 0.000 0.000

=====

*b*
Compound: SmPa2Ru
Source: the Alexandria database
Functional: PBE
Structure: relaxed

Properties
- Space-group type: P4/mmm, No. 123
- ρ: 11.926 g/cm³
- Crystal system: tetragonal
- Total moment: 0.00 μB per cell

a b c (Å): 3.577 3.577 7.765
angles (deg): 90.00 90.00 90.00
Fractional coordinates of all 4 atoms:
Sm 0.500 0.500 0.500
Ru 0.500 0.500 0.000
Pa 0.000 0.000 0.188
Pa 0.000 0.000 0.812

=====

Least stable of them? *a*.